A plane-wave DFT calculation with PBE-GGA was carried out for Ac3CdHg3 after structural relaxation.

```
Ac3CdHg3
1.0
4.184 0.000 0.630
2.037 6.426 0.678
-0.405 0.411 16.893
Ac Cd Hg
6 2 6
direct
0.497 0.383 0.623
0.503 0.617 0.377
0.265 0.245 0.226
0.735 0.755 0.774
0.387 0.303 0.924
0.613 0.697 0.076
0.783 0.053 0.380
0.217 0.947 0.620
0.858 0.753 0.530
0.142 0.247 0.470
0.110 0.856 0.925
0.890 0.144 0.075
0.989 0.793 0.228
0.011 0.207 0.772
```

Properties
crystal system: monoclinic
volume: 32.51 A^3/atom
offset from the most stable computed form: 0.000 eV/atom